Below is crystalline ZnTcSn3 at its relaxed geometry, with properties calculated at the PBE level.

```
ZnTcSn3
1.0
3.242 1.872 6.251
-3.242 1.872 6.251
0.000 -3.743 6.251
Zn Tc Sn
2 2 6
Direct
0.176 0.176 0.176
0.824 0.824 0.824
0.320 0.320 0.320
0.680 0.680 0.680
0.127 0.379 0.741
0.259 0.873 0.621
0.379 0.741 0.127
0.621 0.259 0.873
0.741 0.127 0.379
0.873 0.621 0.259
```

SG: No. 148
Energy above the most stable polymorph in this dataset in meV/atom: 0
Formation energy from the elements in eV/atom: 0.16